{
  "formula": "Sc2ZnCr",
  "functional": "PBE-GGA",
  "state": "relaxed",
  "density_g_cm3": 4.517,
  "formation_energy_mev_per_atom": 90,
  "lattice": [[3.2241, 0.0000, 0.0000], [0.0000, 3.2241, 0.0000], [0.0000, 0.0000, 7.3325]],
  "species": ["Sc", "Sc", "Zn", "Cr"],
  "frac_coords": [[0.0000, 0.0000, 0.0000], [0.5000, 0.5000, 0.3415], [0.0000, 0.0000, 0.5842], [0.5000, 0.5000, 0.7622]]
}